Entry one
Material: AuSe4
Method: DFT, GGA-PBE
State: optimized geometry

Properties
As for the symmetry: P2_1/c, No. 14.

a b c (Å): 5.8046 6.2237 8.8188
angles (deg): 90.00 120.57 90.00
Atoms (fractional coordinates):
1 Au 0.0000 0.0000 0.0000
2 Au 0.0000 0.5000 0.5000
3 Se 0.2748 0.1434 0.5830
4 Se 0.2748 0.3566 0.0830
5 Se 0.2783 0.7034 0.7958
6 Se 0.2783 0.7966 0.2958
7 Se 0.7217 0.2034 0.7042
8 Se 0.7217 0.2966 0.2042
9 Se 0.7252 0.6434 0.9170
10 Se 0.7252 0.8566 0.4170


Entry two
Material: AuSe4
Method: DFT, GGA-PBE
State: optimized geometry

Properties
As for the symmetry: Pm-3m, No. 221.

a b c (Å): 5.0676 5.0676 5.0676
angles (deg): 90.00 90.00 90.00
Atoms (fractional coordinates):
1 Au 0.0000 0.0000 0.0000
2 Se 0.0000 0.0000 0.5000
3 Se 0.0000 0.5000 0.0000
4 Se 0.5000 0.0000 0.0000
5 Se 0.5000 0.5000 0.5000


Entry three
Material: AuSe4
Method: DFT, GGA-PBE
State: optimized geometry

Properties
As for the symmetry: I4/mmm, No. 139.

a b c (Å): 5.3635 5.3635 11.6271
angles (deg): 90.00 90.00 90.00
Atoms (fractional coordinates):
1 Au 0.0000 0.0000 0.0000
2 Au 0.5000 0.5000 0.5000
3 Se 0.0000 0.0000 0.2091
4 Se 0.0000 0.0000 0.7909
5 Se 0.0000 0.5000 0.2500
6 Se 0.0000 0.5000 0.7500
7 Se 0.5000 0.0000 0.2500
8 Se 0.5000 0.0000 0.7500
9 Se 0.5000 0.5000 0.2909
10 Se 0.5000 0.5000 0.7091


The most stable arrangement is entry one, and the next structure is 10.4 kJ/mol of atoms less stable.


Entry one
Material: SiAu3Se
Method: DFT, GGA-PBE
State: optimized geometry

Properties
As for the symmetry: Pm-3m, No. 221.

a b c (Å): 4.9946 4.9946 4.9946
angles (deg): 90.00 90.00 90.00
Atoms (fractional coordinates):
1 Si 0.0000 0.0000 0.0000
2 Au 0.0000 0.5000 0.5000
3 Au 0.5000 0.0000 0.5000
4 Au 0.5000 0.5000 0.0000
5 Se 0.5000 0.5000 0.5000


Entry two
Material: SiAu3Se
Method: DFT, GGA-PBE
State: optimized geometry

Properties
As for the symmetry: Pm-3m, No. 221.

a b c (Å): 4.8022 4.8022 4.8022
angles (deg): 90.00 90.00 90.00
Atoms (fractional coordinates):
1 Si 0.0000 0.0000 0.0000
2 Au 0.0000 0.0000 0.5000
3 Au 0.0000 0.5000 0.0000
4 Au 0.5000 0.0000 0.0000
5 Se 0.5000 0.5000 0.5000


The most stable arrangement is entry two, and the next structure is 34.7 kJ/mol of atoms less stable.


Entry one
Material: Sm5AuSe4
Method: DFT, GGA-PBE
State: optimized geometry

Properties
As for the symmetry: I4/m, No. 87.

a b c (Å): 7.2618 7.2618 7.2618
angles (deg): 99.71 99.71 131.50
Atoms (fractional coordinates):
1 Sm 0.0000 0.0000 0.0000
2 Sm 0.1992 0.6016 0.8008
3 Sm 0.3984 0.1992 0.5977
4 Sm 0.6016 0.8008 0.4023
5 Sm 0.8008 0.3984 0.1992
6 Au 0.5000 0.5000 0.0000
7 Se 0.0984 0.3021 0.4005
8 Se 0.3021 0.9016 0.2037
9 Se 0.6979 0.0984 0.7963
10 Se 0.9016 0.6979 0.5995


Entry two
Material: Sm5AuSe4
Method: DFT, GGA-PBE
State: optimized geometry

Properties
As for the symmetry: I4/mmm, No. 139.

a b c (Å): 15.2365 15.2365 15.2365
angles (deg): 164.22 164.22 22.39
Atoms (fractional coordinates):
1 Sm 0.0000 0.0000 0.0000
2 Sm 0.1988 0.1988 0.0000
3 Sm 0.3977 0.3977 0.0000
4 Sm 0.6023 0.6023 0.0000
5 Sm 0.8012 0.8012 0.0000
6 Au 0.5000 0.5000 0.0000
7 Se 0.1007 0.1007 0.0000
8 Se 0.2991 0.2991 0.0000
9 Se 0.7009 0.7009 0.0000
10 Se 0.8993 0.8993 0.0000


The most stable arrangement is entry one, and the next structure is 2.8 kJ/mol of atoms less stable.


Entry one
Material: Sm2AuSe
Method: DFT, GGA-PBE
State: optimized geometry

Properties
As for the symmetry: Cmcm, No. 63.

a b c (Å): 4.0420 23.4923 4.3690
angles (deg): 90.00 90.00 90.00
Atoms (fractional coordinates):
1 Sm 0.0000 0.0670 0.2500
2 Sm 0.0000 0.3165 0.2500
3 Sm 0.0000 0.6835 0.7500
4 Sm 0.0000 0.9330 0.7500
5 Sm 0.5000 0.1835 0.7500
6 Sm 0.5000 0.4330 0.7500
7 Sm 0.5000 0.5670 0.2500
8 Sm 0.5000 0.8165 0.2500
9 Au 0.0000 0.4553 0.2500
10 Au 0.0000 0.5447 0.7500
11 Au 0.5000 0.0447 0.7500
12 Au 0.5000 0.9553 0.2500
13 Se 0.0000 0.1918 0.2500
14 Se 0.0000 0.8082 0.7500
15 Se 0.5000 0.3082 0.7500
16 Se 0.5000 0.6918 0.2500


Entry two
Material: Sm2AuSe
Method: DFT, GGA-PBE
State: optimized geometry

Properties
As for the symmetry: R-3m, No. 166.

a b c (Å): 4.1213 4.1213 21.9779
angles (deg): 90.00 90.00 120.00
Atoms (fractional coordinates):
1 Sm 0.0000 0.0000 0.2489
2 Sm 0.0000 0.0000 0.7511
3 Sm 0.3333 0.6667 0.4178
4 Sm 0.3333 0.6667 0.9155
5 Sm 0.6667 0.3333 0.0845
6 Sm 0.6667 0.3333 0.5822
7 Au 0.0000 0.0000 0.0000
8 Au 0.3333 0.6667 0.6667
9 Au 0.6667 0.3333 0.3333
10 Se 0.0000 0.0000 0.5000
11 Se 0.3333 0.6667 0.1667
12 Se 0.6667 0.3333 0.8333


Entry three
Material: Sm2AuSe
Method: DFT, GGA-PBE
State: optimized geometry

Properties
As for the symmetry: R3m, No. 160.

a b c (Å): 4.0561 4.0561 22.9882
angles (deg): 90.00 90.00 120.00
Atoms (fractional coordinates):
1 Sm 0.0000 0.0000 0.0000
2 Sm 0.0000 0.0000 0.1707
3 Sm 0.3333 0.6667 0.6667
4 Sm 0.3333 0.6667 0.8374
5 Sm 0.6667 0.3333 0.3333
6 Sm 0.6667 0.3333 0.5041
7 Au 0.0000 0.0000 0.5842
8 Au 0.3333 0.6667 0.2509
9 Au 0.6667 0.3333 0.9175
10 Se 0.0000 0.0000 0.7535
11 Se 0.3333 0.6667 0.4202
12 Se 0.6667 0.3333 0.0869


The most stable arrangement is entry one, and the next structure is 5.3 kJ/mol of atoms less stable.